Model one:
First-principles (GGA-PBE) data for a relaxed ZnBi2O4 crystal, as listed in the Alexandria database.

Cell and atoms, written as CIF:
```
data_ZnBi2O4
_chemical_formula_sum 'Zn2 Bi4 O8'
_symmetry_space_group_name_H-M 'P 1'
_symmetry_Int_Tables_number 1
_symmetry_space_group_name_Hall 'P 1'
_cell_length_a 6.6255
_cell_length_b 6.6255
_cell_length_c 6.6255
_cell_angle_alpha 63.74
_cell_angle_beta 63.74
_cell_angle_gamma 63.74
loop_
_atom_site_label
_atom_site_type_symbol
_atom_site_fract_x
_atom_site_fract_y
_atom_site_fract_z
O1 O 0.1623 0.5942 0.5942
O2 O 0.1202 0.1202 0.6263
O3 O 0.6263 0.1202 0.1202
O4 O 0.5942 0.5942 0.1623
O5 O 0.6303 0.6303 0.6303
O6 O 0.5942 0.1623 0.5942
O7 O 0.1272 0.1272 0.1272
O8 O 0.1202 0.6263 0.1202
Bi1 Bi 0.7668 0.7668 0.7668
Bi2 Bi 0.8806 0.3764 0.3764
Bi3 Bi 0.3764 0.3764 0.8806
Bi4 Bi 0.3764 0.8806 0.3764
Zn1 Zn 0.9971 0.9971 0.9971
Zn2 Zn 0.3777 0.3777 0.3777
```

Computed properties:
As for the space group: R3m (160).

Model two:
First-principles (GGA-PBE) data for a relaxed ZnBi2O4 crystal, as listed in the Alexandria database.

Cell and atoms, written as CIF:
```
data_ZnBi2O4
_chemical_formula_sum 'Zn4 Bi8 O16'
_symmetry_space_group_name_H-M 'P 1'
_symmetry_Int_Tables_number 1
_symmetry_space_group_name_Hall 'P 1'
_cell_length_a 3.3929
_cell_length_b 10.6938
_cell_length_c 11.4860
_cell_angle_alpha 90.00
_cell_angle_beta 90.00
_cell_angle_gamma 90.00
loop_
_atom_site_label
_atom_site_type_symbol
_atom_site_fract_x
_atom_site_fract_y
_atom_site_fract_z
O1 O 0.2428 0.9639 0.8970
O2 O 0.7572 0.4639 0.8970
O3 O 0.3395 0.2558 0.2500
O4 O 0.6605 0.7558 0.2500
O5 O 0.2428 0.5361 0.1030
O6 O 0.7572 0.4639 0.6030
O7 O 0.7572 0.0361 0.3970
O8 O 0.2428 0.9639 0.6030
O9 O 0.3395 0.2442 0.7500
O10 O 0.2450 0.2500 0.5000
O11 O 0.7572 0.0361 0.1030
O12 O 0.2450 0.2500 0.0000
O13 O 0.7550 0.7500 0.0000
O14 O 0.2428 0.5361 0.3970
O15 O 0.6605 0.7442 0.7500
O16 O 0.7550 0.7500 0.5000
Bi1 Bi 0.6708 0.1223 0.5878
Bi2 Bi 0.3292 0.6223 0.9122
Bi3 Bi 0.6708 0.3777 0.0878
Bi4 Bi 0.6708 0.3777 0.4122
Bi5 Bi 0.3292 0.8777 0.0878
Bi6 Bi 0.6708 0.1223 0.9122
Bi7 Bi 0.3292 0.8777 0.4122
Bi8 Bi 0.3292 0.6223 0.5878
Zn1 Zn 0.1660 0.6426 0.2500
Zn2 Zn 0.8340 0.3574 0.7500
Zn3 Zn 0.1660 0.8574 0.7500
Zn4 Zn 0.8340 0.1426 0.2500
```

Computed properties:
As for the space group: Pbcm (57).

Most stable: model one (next structure +1.1 kJ/mol of atoms)

Model one:
First-principles (GGA-PBE) data for a relaxed ZnBi2O4 crystal, as listed in the Alexandria database.

Cell and atoms, written as CIF:
```
data_ZnBi2O4
_chemical_formula_sum 'Zn2 Bi4 O8'
_symmetry_space_group_name_H-M 'P 1'
_symmetry_Int_Tables_number 1
_symmetry_space_group_name_Hall 'P 1'
_cell_length_a 6.8152
_cell_length_b 6.8152
_cell_length_c 6.8152
_cell_angle_alpha 123.27
_cell_angle_beta 117.23
_cell_angle_gamma 89.65
loop_
_atom_site_label
_atom_site_type_symbol
_atom_site_fract_x
_atom_site_fract_y
_atom_site_fract_z
O1 O 0.2486 0.2518 0.5032
O2 O 0.1928 0.7431 0.4497
O3 O 0.2486 0.7454 0.9968
O4 O 0.7514 0.2546 0.0032
O5 O 0.2066 0.2569 0.9497
O6 O 0.7514 0.7482 0.4968
O7 O 0.8072 0.2569 0.5503
O8 O 0.7934 0.7431 0.0503
Zn1 Zn 0.0000 0.5000 0.0000
Zn2 Zn 0.0000 0.0000 0.5000
Bi1 Bi 0.3965 0.1465 0.2500
Bi2 Bi 0.6035 0.8535 0.7500
Bi3 Bi 0.5000 0.5000 0.0000
Bi4 Bi 0.0000 0.5000 0.5000
```

Computed properties:
As for the space group: Imma (74).

Model two:
First-principles (GGA-PBE) data for a relaxed ZnBi2O4 crystal, as listed in the Alexandria database.

Cell and atoms, written as CIF:
```
data_ZnBi2O4
_chemical_formula_sum 'Zn2 Bi4 O8'
_symmetry_space_group_name_H-M 'P 1'
_symmetry_Int_Tables_number 1
_symmetry_space_group_name_Hall 'P 1'
_cell_length_a 3.5307
_cell_length_b 6.5135
_cell_length_c 10.4010
_cell_angle_alpha 99.11
_cell_angle_beta 99.76
_cell_angle_gamma 105.71
loop_
_atom_site_label
_atom_site_type_symbol
_atom_site_fract_x
_atom_site_fract_y
_atom_site_fract_z
O1 O 0.8474 0.4333 0.2277
O2 O 0.3809 0.1618 0.5855
O3 O 0.3662 0.6620 0.0854
O4 O 0.6191 0.8382 0.4145
O5 O 0.8130 0.9328 0.7275
O6 O 0.6338 0.3380 0.9146
O7 O 0.1526 0.5667 0.7723
O8 O 0.1870 0.0672 0.2725
Bi1 Bi 0.1819 0.8151 0.5892
Bi2 Bi 0.7772 0.6846 0.9106
Bi3 Bi 0.2228 0.3154 0.0894
Bi4 Bi 0.8181 0.1849 0.4108
Zn1 Zn 0.1211 0.7502 0.2500
Zn2 Zn 0.8789 0.2498 0.7500
```

Computed properties:
As for the space group: C2/c (15).

Most stable: model two (next structure +8.8 kJ/mol of atoms)

Model one:
First-principles (GGA-PBE) data for a relaxed ZnBiO2 crystal, as listed in the Alexandria database.

Cell and atoms, written as CIF:
```
data_ZnBiO2
_chemical_formula_sum 'Zn2 Bi2 O4'
_symmetry_space_group_name_H-M 'P 1'
_symmetry_Int_Tables_number 1
_symmetry_space_group_name_Hall 'P 1'
_cell_length_a 5.2528
_cell_length_b 5.2528
_cell_length_c 6.0281
_cell_angle_alpha 64.17
_cell_angle_beta 64.17
_cell_angle_gamma 90.00
loop_
_atom_site_label
_atom_site_type_symbol
_atom_site_fract_x
_atom_site_fract_y
_atom_site_fract_z
Zn1 Zn 0.2500 0.7500 0.5000
Zn2 Zn 0.5000 0.5000 0.0000
O1 O 0.8750 0.8075 0.7500
O2 O 0.3750 0.4425 0.7500
O3 O 0.5575 0.1250 0.2500
O4 O 0.1925 0.6250 0.2500
Bi1 Bi 0.7500 0.2500 0.5000
Bi2 Bi 0.0000 0.0000 0.0000
```

Computed properties:
As for the space group: I-42d (122).

Model two:
First-principles (GGA-PBE) data for a relaxed ZnBiO2 crystal, as listed in the Alexandria database.

Cell and atoms, written as CIF:
```
data_ZnBiO2
_chemical_formula_sum 'Zn1 Bi1 O2'
_symmetry_space_group_name_H-M 'P 1'
_symmetry_Int_Tables_number 1
_symmetry_space_group_name_Hall 'P 1'
_cell_length_a 6.7333
_cell_length_b 6.7333
_cell_length_c 6.7333
_cell_angle_alpha 27.87
_cell_angle_beta 27.87
_cell_angle_gamma 27.87
loop_
_atom_site_label
_atom_site_type_symbol
_atom_site_fract_x
_atom_site_fract_y
_atom_site_fract_z
O1 O 0.1133 0.1133 0.1133
O2 O 0.8867 0.8867 0.8867
Bi1 Bi 0.0000 0.0000 0.0000
Zn1 Zn 0.5000 0.5000 0.5000
```

Computed properties:
As for the space group: R-3m (166).

Model three:
First-principles (GGA-PBE) data for a relaxed ZnBiO2 crystal, as listed in the Alexandria database.

Cell and atoms, written as CIF:
```
data_ZnBiO2
_chemical_formula_sum 'Zn1 Bi1 O2'
_symmetry_space_group_name_H-M 'P 1'
_symmetry_Int_Tables_number 1
_symmetry_space_group_name_Hall 'P 1'
_cell_length_a 4.2497
_cell_length_b 4.2497
_cell_length_c 4.2497
_cell_angle_alpha 60.00
_cell_angle_beta 60.00
_cell_angle_gamma 60.00
loop_
_atom_site_label
_atom_site_type_symbol
_atom_site_fract_x
_atom_site_fract_y
_atom_site_fract_z
O1 O 0.2500 0.2500 0.2500
O2 O 0.7500 0.7500 0.7500
Zn1 Zn 0.0000 0.0000 0.0000
Bi1 Bi 0.5000 0.5000 0.5000
```

Computed properties:
As for the space group: Fm-3m (225).

Most stable: model one (next structure +6.7 kJ/mol of atoms)